Entry from Alexandria via LeMat-Bulk: a relaxed structure of CsEr2Cu3S5 (PBE).

Cell: 7.3071 7.3071 16.7187 Å, 90.00 90.00 148.62°
Closest atoms and distances in Å follow each position.
Sites, in units of the cell vectors:
Cs 0.9369 0.0631 0.2500  8 S 3.39-3.56, 2 Cu 3.68
Cs 0.0631 0.9369 0.7500  8 S 3.39-3.56, 2 Cu 3.68
Er 0.1919 0.8081 0.4084  6 S 2.69-2.79
Er 0.1919 0.8081 0.0916  6 S 2.69-2.79
Er 0.8081 0.1919 0.5916  6 S 2.69-2.79
Er 0.8081 0.1919 0.9084  6 S 2.69-2.79
Cu 0.5845 0.4155 0.5362  4 S 2.38-2.43
Cu 0.5845 0.4155 0.9638  4 S 2.38-2.43
Cu 0.4155 0.5845 0.0362  4 S 2.38-2.43
Cu 0.3424 0.6576 0.7500  2 S 2.24
Cu 0.6576 0.3424 0.2500  2 S 2.24
Cu 0.4155 0.5845 0.4638  4 S 2.38-2.43
S 0.8296 0.1704 0.0683  2 Cu 2.38
S 0.4372 0.5628 0.8919  2 Cu 2.40-2.43
S 0.4372 0.5628 0.6081  2 Cu 2.40-2.43
S 0.5628 0.4372 0.3919  2 Cu 2.40-2.43
S 0.2318 0.7682 0.2500  2 Cu 2.24
S 0.7682 0.2318 0.7500  2 Cu 2.24
S 0.5628 0.4372 0.1081  2 Cu 2.40-2.43
S 0.1704 0.8296 0.9317  2 Cu 2.38
S 0.1704 0.8296 0.5683  2 Cu 2.38
S 0.8296 0.1704 0.4317  2 Cu 2.38

- Crystal system: orthorhombic
- Space group: Cmcm, No. 63
- DFT total energy: -5.1423 eV per atom